# CaCdMo2 | Alexandria via LeMat-Bulk | GGA-PBE | relaxed
data_CaCdMo2
_chemical_formula_sum 'Ca1 Cd1 Mo2'
_cell_length_a 3.464
_cell_length_b 4.472
_cell_length_c 4.993
_cell_angle_alpha 90.00
_cell_angle_beta 90.00
_cell_angle_gamma 90.00
_space_group_name_H-M_alt 'P m m m'
_space_group_IT_number 47
loop_
_space_group_symop_operation_xyz
'x,y,z'
'-x,-y,-z'
'-x,-y,z'
'x,y,-z'
'x,-y,-z'
'-x,y,z'
'-x,y,-z'
'x,-y,z'
loop_
_atom_site_label
_atom_site_fract_x
_atom_site_fract_y
_atom_site_fract_z
_atom_site_occupancy
Ca1 0.000 0.000 0.000 1
Cd1 0.500 0.500 0.000 1
Mo1 0.000 0.500 0.500 1
Mo2 0.500 0.000 0.500 1
# D(E_F) (states/eV per atom): 0.82
# Total moment (μB/atom): 0.0000
# Energy of formation (eV per atom): 0.628
# Volume (A^3/atom): 19.34
# Crystal system: orthorhombic